1.
Computed, not measured: a geometry-optimized LiBe2Fe structure at the PBE level of DFT.

Calculated values
The calculation puts the formation energy at 0.208 eV per atom.

The structure in CIF format:
```
data_LiBe2Fe
_chemical_formula_sum 'Li1 Be2 Fe1'
_cell_length_a 2.245
_cell_length_b 3.674
_cell_length_c 4.635
_cell_angle_alpha 90.00
_cell_angle_beta 90.00
_cell_angle_gamma 90.00
_symmetry_space_group_name_H-M 'P 1'
_symmetry_Int_Tables_number 1
loop_
_symmetry_equiv_pos_as_xyz
'x,y,z'
loop_
_atom_site_label
_atom_site_type_symbol
_atom_site_fract_x
_atom_site_fract_y
_atom_site_fract_z
Li1 Li 0.000 0.000 0.000
Be1 Be 0.000 0.000 0.505
Be2 Be 0.500 0.500 0.250
Fe1 Fe 0.500 0.500 0.724
```


2.
Computed, not measured: a geometry-optimized KPNO2 structure at the PBE level of DFT.

Calculated values
Its uncorrected formation energy is -463.2 meV/atom.

The structure in CIF format:
```
data_KPNO2
_chemical_formula_sum 'K1 P1 N1 O2'
_cell_length_a 3.768
_cell_length_b 3.768
_cell_length_c 3.447
_cell_angle_alpha 90.00
_cell_angle_beta 90.00
_cell_angle_gamma 90.00
_symmetry_space_group_name_H-M 'P 1'
_symmetry_Int_Tables_number 1
loop_
_symmetry_equiv_pos_as_xyz
'x,y,z'
loop_
_atom_site_label
_atom_site_type_symbol
_atom_site_fract_x
_atom_site_fract_y
_atom_site_fract_z
K1 K 0.000 0.000 0.000
P1 P 0.500 0.500 0.500
N1 N 0.500 0.500 0.000
O1 O 0.000 0.500 0.500
O2 O 0.500 0.000 0.500
```


3.
Computed, not measured: a geometry-optimized La6CoRu2 structure at the PBE level of DFT.

Calculated values
The calculation puts the formation energy at -0.207 eV per atom.

The structure in CIF format:
```
data_La6CoRu2
_chemical_formula_sum 'La12 Co2 Ru4'
_cell_length_a 6.849
_cell_length_b 7.417
_cell_length_c 12.231
_cell_angle_alpha 90.00
_cell_angle_beta 122.73
_cell_angle_gamma 90.00
_symmetry_space_group_name_H-M 'P 1'
_symmetry_Int_Tables_number 1
loop_
_symmetry_equiv_pos_as_xyz
'x,y,z'
loop_
_atom_site_label
_atom_site_type_symbol
_atom_site_fract_x
_atom_site_fract_y
_atom_site_fract_z
La1 La 0.082 0.068 0.247
La2 La 0.082 0.432 0.747
La3 La 0.253 0.684 0.080
La4 La 0.253 0.816 0.580
La5 La 0.392 0.174 0.067
La6 La 0.392 0.326 0.567
La7 La 0.608 0.674 0.433
La8 La 0.608 0.826 0.933
La9 La 0.747 0.184 0.420
La10 La 0.747 0.316 0.920
La11 La 0.918 0.568 0.253
La12 La 0.918 0.932 0.753
Co1 Co 0.000 0.000 0.000
Co2 Co 0.000 0.500 0.500
Ru1 Ru 0.295 0.099 0.763
Ru2 Ru 0.295 0.401 0.263
Ru3 Ru 0.705 0.599 0.737
Ru4 Ru 0.705 0.901 0.237
```


4.
Computed, not measured: a geometry-optimized Pm3Er3Th structure at the PBE level of DFT.

Calculated values
The calculation puts the formation energy at 0.232 eV per atom.

The structure in CIF format:
```
data_Pm3Er3Th
_chemical_formula_sum 'Pm6 Er6 Th2'
_cell_length_a 8.870
_cell_length_b 8.870
_cell_length_c 8.870
_cell_angle_alpha 58.31
_cell_angle_beta 58.31
_cell_angle_gamma 58.31
_symmetry_space_group_name_H-M 'P 1'
_symmetry_Int_Tables_number 1
loop_
_symmetry_equiv_pos_as_xyz
'x,y,z'
loop_
_atom_site_label
_atom_site_type_symbol
_atom_site_fract_x
_atom_site_fract_y
_atom_site_fract_z
Pm1 Pm 0.064 0.573 0.215
Pm2 Pm 0.215 0.064 0.573
Pm3 Pm 0.427 0.785 0.936
Pm4 Pm 0.573 0.215 0.064
Pm5 Pm 0.785 0.936 0.427
Pm6 Pm 0.936 0.427 0.785
Er1 Er 0.213 0.675 0.438
Er2 Er 0.325 0.562 0.787
Er3 Er 0.438 0.213 0.675
Er4 Er 0.562 0.787 0.325
Er5 Er 0.675 0.438 0.213
Er6 Er 0.787 0.325 0.562
Th1 Th 0.157 0.157 0.157
Th2 Th 0.843 0.843 0.843
```


5.
Computed, not measured: a geometry-optimized BaB2I2 structure at the PBE level of DFT.

Calculated values
Its uncorrected formation energy is 877.4 meV/atom. The energy relative to the lowest polymorph listed for this composition is 0.0 meV/atom.

The structure in CIF format:
```
data_BaB2I2
_chemical_formula_sum 'Ba1 B2 I2'
_cell_length_a 10.217
_cell_length_b 10.217
_cell_length_c 10.217
_cell_angle_alpha 158.55
_cell_angle_beta 158.55
_cell_angle_gamma 30.52
_symmetry_space_group_name_H-M 'P 1'
_symmetry_Int_Tables_number 1
loop_
_symmetry_equiv_pos_as_xyz
'x,y,z'
loop_
_atom_site_label
_atom_site_type_symbol
_atom_site_fract_x
_atom_site_fract_y
_atom_site_fract_z
Ba1 Ba 0.000 0.000 0.000
B1 B 0.250 0.750 0.500
B2 B 0.750 0.250 0.500
I1 I 0.389 0.389 0.000
I2 I 0.611 0.611 0.000
```


6.
Computed, not measured: a geometry-optimized BaNbHAu2 structure at the PBE level of DFT.

The structure in CIF format:
```
data_BaNbHAu2
_chemical_formula_sum 'Ba1 Nb1 H1 Au2'
_cell_length_a 5.837
_cell_length_b 5.837
_cell_length_c 4.121
_cell_angle_alpha 90.00
_cell_angle_beta 90.00
_cell_angle_gamma 90.00
_symmetry_space_group_name_H-M 'P 1'
_symmetry_Int_Tables_number 1
loop_
_symmetry_equiv_pos_as_xyz
'x,y,z'
loop_
_atom_site_label
_atom_site_type_symbol
_atom_site_fract_x
_atom_site_fract_y
_atom_site_fract_z
Ba1 Ba 0.000 0.000 0.000
Nb1 Nb 0.500 0.500 0.500
H1 H 0.000 0.000 0.500
Au1 Au 0.000 0.500 0.000
Au2 Au 0.500 0.000 0.000
```


7.
Computed, not measured: a geometry-optimized CrCd2TcGe structure at the PBE level of DFT.

Calculated values
The calculation puts the formation energy at 0.867 eV per atom.

The structure in CIF format:
```
data_CrCd2TcGe
_chemical_formula_sum 'Cr1 Cd2 Tc1 Ge1'
_cell_length_a 5.214
_cell_length_b 5.214
_cell_length_c 4.686
_cell_angle_alpha 90.00
_cell_angle_beta 90.00
_cell_angle_gamma 90.00
_symmetry_space_group_name_H-M 'P 1'
_symmetry_Int_Tables_number 1
loop_
_symmetry_equiv_pos_as_xyz
'x,y,z'
loop_
_atom_site_label
_atom_site_type_symbol
_atom_site_fract_x
_atom_site_fract_y
_atom_site_fract_z
Cr1 Cr 0.000 0.000 0.000
Cd1 Cd 0.000 0.500 0.500
Cd2 Cd 0.500 0.000 0.500
Tc1 Tc 0.500 0.500 0.500
Ge1 Ge 0.500 0.500 0.000
```


8.
Computed, not measured: a geometry-optimized Er4TmTh structure at the PBE level of DFT.

Calculated values
The calculation puts the formation energy at -0.003 eV per atom. The energy relative to the lowest polymorph listed for this composition is 0.0 meV/atom.

The structure in CIF format:
```
data_Er4TmTh
_chemical_formula_sum 'Er8 Tm2 Th2'
_cell_length_a 9.319
_cell_length_b 9.319
_cell_length_c 11.356
_cell_angle_alpha 90.00
_cell_angle_beta 90.00
_cell_angle_gamma 158.03
_symmetry_space_group_name_H-M 'P 1'
_symmetry_Int_Tables_number 1
loop_
_symmetry_equiv_pos_as_xyz
'x,y,z'
loop_
_atom_site_label
_atom_site_type_symbol
_atom_site_fract_x
_atom_site_fract_y
_atom_site_fract_z
Er1 Er 0.002 0.998 0.500
Er2 Er 0.113 0.887 0.252
Er3 Er 0.331 0.669 0.496
Er4 Er 0.444 0.556 0.247
Er5 Er 0.556 0.444 0.747
Er6 Er 0.669 0.331 0.996
Er7 Er 0.887 0.113 0.752
Er8 Er 0.998 0.002 0.000
Tm1 Tm 0.222 0.778 0.746
Tm2 Tm 0.778 0.222 0.246
Th1 Th 0.334 0.666 0.999
Th2 Th 0.666 0.334 0.499
```


In the order shown, the computed total DFT energy (no corrections) values come out to -4.250; -5.413; -6.343; -4.820; -2.798; -3.349; -4.421; -5.027 eV/atom.